[1]
# Li2YTlO GGA-PBE optimized geometry
# Size of the total moment, μB per cell: 0.0
# Space-group type: P4/mmm, No. 123
data_Li2YTlO
_cell_length_a 4.5835
_cell_length_b 4.5835
_cell_length_c 4.4190
_cell_angle_alpha 90.00
_cell_angle_beta 90.00
_cell_angle_gamma 90.00
_symmetry_space_group_name_H-M 'P 1'
_symmetry_Int_Tables_number 1
loop_
_symmetry_equiv_pos_as_xyz
'x,y,z'
loop_
_atom_site_label
_atom_site_fract_x
_atom_site_fract_y
_atom_site_fract_z
Li1 0.0000 0.5000 0.0000
Li2 0.5000 0.0000 0.0000
Y1 0.0000 0.0000 0.5000
Tl1 0.5000 0.5000 0.5000
O1 0.0000 0.0000 0.0000


[2]
# LiYTlO2 GGA-PBE optimized geometry
# Size of the total moment, μB per cell: 0.0
# Space-group type: P4/mmm, No. 123
data_LiYTlO2
_cell_length_a 4.2308
_cell_length_b 4.2308
_cell_length_c 4.2317
_cell_angle_alpha 90.00
_cell_angle_beta 90.00
_cell_angle_gamma 90.00
_symmetry_space_group_name_H-M 'P 1'
_symmetry_Int_Tables_number 1
loop_
_symmetry_equiv_pos_as_xyz
'x,y,z'
loop_
_atom_site_label
_atom_site_fract_x
_atom_site_fract_y
_atom_site_fract_z
Li1 0.0000 0.0000 0.0000
Y1 0.5000 0.5000 0.5000
Tl1 0.0000 0.0000 0.5000
O1 0.0000 0.5000 0.0000
O2 0.5000 0.0000 0.0000


[3]
# LiY2TlO5 GGA-PBE optimized geometry
# Size of the total moment, μB per cell: 0.0
# Space-group type: Cmc2_1, No. 36
data_LiY2TlO5
_cell_length_a 6.9088
_cell_length_b 6.9088
_cell_length_c 9.8992
_cell_angle_alpha 90.00
_cell_angle_beta 90.00
_cell_angle_gamma 151.94
_symmetry_space_group_name_H-M 'P 1'
_symmetry_Int_Tables_number 1
loop_
_symmetry_equiv_pos_as_xyz
'x,y,z'
loop_
_atom_site_label
_atom_site_fract_x
_atom_site_fract_y
_atom_site_fract_z
Li1 0.0110 0.9890 0.5000
Li2 0.9890 0.0110 0.0000
Y1 0.3808 0.6192 0.3044
Y2 0.3870 0.6130 0.6979
Y3 0.6130 0.3870 0.1979
Y4 0.6192 0.3808 0.8044
Tl1 0.3047 0.6953 0.0096
Tl2 0.6953 0.3047 0.5096
O1 0.0030 0.9970 0.3019
O2 0.1366 0.8634 0.0242
O3 0.2028 0.7972 0.3508
O4 0.2075 0.7925 0.6804
O5 0.4602 0.5398 0.0834
O6 0.5398 0.4602 0.5834
O7 0.7925 0.2075 0.1804
O8 0.7972 0.2028 0.8508
O9 0.8634 0.1366 0.5242
O10 0.9970 0.0030 0.8019


[4]
# LiTlZn2O GGA-PBE optimized geometry
# Size of the total moment, μB per cell: 0.0
# Space-group type: P4/mmm, No. 123
data_LiTlZn2O
_cell_length_a 4.9946
_cell_length_b 4.9946
_cell_length_c 5.2987
_cell_angle_alpha 90.00
_cell_angle_beta 90.00
_cell_angle_gamma 90.00
_symmetry_space_group_name_H-M 'P 1'
_symmetry_Int_Tables_number 1
loop_
_symmetry_equiv_pos_as_xyz
'x,y,z'
loop_
_atom_site_label
_atom_site_fract_x
_atom_site_fract_y
_atom_site_fract_z
Li1 0.0000 0.0000 0.0000
Tl1 0.0000 0.0000 0.5000
Zn1 0.0000 0.5000 0.5000
Zn2 0.5000 0.0000 0.5000
O1 0.5000 0.5000 0.0000


[5]
# Li2TlZnO4 GGA-PBE optimized geometry
# Size of the total moment, μB per cell: 0.9
# Space-group type: I-42m, No. 121
data_Li2TlZnO4
_cell_length_a 5.4878
_cell_length_b 5.4878
_cell_length_c 5.4878
_cell_angle_alpha 127.19
_cell_angle_beta 127.19
_cell_angle_gamma 77.94
_symmetry_space_group_name_H-M 'P 1'
_symmetry_Int_Tables_number 1
loop_
_symmetry_equiv_pos_as_xyz
'x,y,z'
loop_
_atom_site_label
_atom_site_fract_x
_atom_site_fract_y
_atom_site_fract_z
Li1 0.2500 0.7500 0.5000
Li2 0.7500 0.2500 0.5000
Tl1 0.0000 0.0000 0.0000
Zn1 0.5000 0.5000 0.0000
O1 0.1366 0.1366 0.5383
O2 0.4017 0.8634 0.0000
O3 0.5983 0.5983 0.4617
O4 0.8634 0.4017 0.0000


[6]
# LiTlZn2O4 GGA-PBE optimized geometry
# Size of the total moment, μB per cell: 0.0
# Space-group type: I-42m, No. 121
data_LiTlZn2O4
_cell_length_a 5.8758
_cell_length_b 5.8758
_cell_length_c 5.8758
_cell_angle_alpha 133.01
_cell_angle_beta 133.01
_cell_angle_gamma 68.64
_symmetry_space_group_name_H-M 'P 1'
_symmetry_Int_Tables_number 1
loop_
_symmetry_equiv_pos_as_xyz
'x,y,z'
loop_
_atom_site_label
_atom_site_fract_x
_atom_site_fract_y
_atom_site_fract_z
Li1 0.0000 0.0000 0.0000
Tl1 0.5000 0.5000 0.0000
Zn1 0.2500 0.7500 0.5000
Zn2 0.7500 0.2500 0.5000
O1 0.1001 0.1001 0.4667
O2 0.3666 0.8999 0.0000
O3 0.6334 0.6334 0.5333
O4 0.8999 0.3666 0.0000


[7]
# LiTmO2 GGA-PBE optimized geometry
# Size of the total moment, μB per cell: 0.0
# Space-group type: I4_1/amd, No. 141
data_LiTmO2
_cell_length_a 6.0036
_cell_length_b 6.0036
_cell_length_c 6.0036
_cell_angle_alpha 137.14
_cell_angle_beta 137.14
_cell_angle_gamma 62.23
_symmetry_space_group_name_H-M 'P 1'
_symmetry_Int_Tables_number 1
loop_
_symmetry_equiv_pos_as_xyz
'x,y,z'
loop_
_atom_site_label
_atom_site_fract_x
_atom_site_fract_y
_atom_site_fract_z
Li1 0.3750 0.6250 0.7500
Li2 0.6250 0.3750 0.2500
Tm1 0.1250 0.8750 0.2500
Tm2 0.8750 0.1250 0.7500
O1 0.0966 0.3466 0.7500
O2 0.3466 0.0966 0.2500
O3 0.6534 0.9034 0.7500
O4 0.9034 0.6534 0.2500


[8]
# LiTmO2 GGA-PBE optimized geometry
# Size of the total moment, μB per cell: 0.0
# Space-group type: R-3m, No. 166
data_LiTmO2
_cell_length_a 5.3865
_cell_length_b 5.3865
_cell_length_c 5.3865
_cell_angle_alpha 35.79
_cell_angle_beta 35.79
_cell_angle_gamma 35.79
_symmetry_space_group_name_H-M 'P 1'
_symmetry_Int_Tables_number 1
loop_
_symmetry_equiv_pos_as_xyz
'x,y,z'
loop_
_atom_site_label
_atom_site_fract_x
_atom_site_fract_y
_atom_site_fract_z
Li1 0.0000 0.0000 0.0000
Tm1 0.5000 0.5000 0.5000
O1 0.2445 0.2445 0.2445
O2 0.7555 0.7555 0.7555


It is found that the energy relative to the elements, uncorrected values, taken in the order of the records, are -1183 -724 -2330 716 -1177 -1283 -3001 -2931 meV/atom.